Entry 1:
{"formula": "BiTePd", "functional": "PBE", "state": "relaxed", "cell": [[-0.9317, 0.6253, -5.2394], [0.6888, -7.0975, -0.9800], [-8.1623, -0.9764, 1.3349]], "species": ["Bi", "Bi", "Bi", "Bi", "Te", "Te", "Te", "Te", "Pd", "Pd", "Pd", "Pd"], "fractional_positions": [[0.7612, 0.5647, 0.1223], [0.2388, 0.9353, 0.6223], [0.2388, 0.4353, 0.8777], [0.7612, 0.0647, 0.3777], [0.2526, 0.8954, 0.1300], [0.7474, 0.6046, 0.6300], [0.7474, 0.1046, 0.8700], [0.2526, 0.3954, 0.3700], [0.4902, 0.2349, 0.1228], [0.5098, 0.2651, 0.6228], [0.5098, 0.7651, 0.8772], [0.4902, 0.7349, 0.3772]], "density_g_cm3": 9.2, "crystal_system": "monoclinic", "e_tot_ev_per_cell": -52.30, "formation_energy_uncorrected_ev_per_atom": -0.2867}



Entry 2:
{"formula": "PrY2Hf", "functional": "PBE", "state": "relaxed", "cell": [[4.9648, 0.0000, 0.0000], [0.0000, 4.8936, 0.0000], [0.0000, 0.0000, 4.8936]], "species": ["Pr", "Y", "Y", "Hf"], "fractional_positions": [[0.5000, 0.0000, 0.0000], [0.0000, 0.0000, 0.5000], [0.0000, 0.5000, 0.0000], [0.5000, 0.5000, 0.5000]], "density_g_cm3": 6.9, "crystal_system": "tetragonal", "e_tot_ev_per_cell": -26.96, "delta_e_f_ev_per_atom": 0.176}



Entry 3:
{"formula": "CsTl2Bi3", "functional": "PBE", "state": "relaxed", "cell": [[7.5712, 0.0000, 0.0000], [0.0000, 7.8125, -1.5499], [0.0000, 0.8568, 7.9185]], "species": ["Cs", "Cs", "Tl", "Tl", "Tl", "Tl", "Bi", "Bi", "Bi", "Bi", "Bi", "Bi"], "fractional_positions": [[0.7500, 0.3278, 0.3278], [0.2500, 0.6722, 0.6722], [0.0000, 0.7673, 0.2327], [0.5000, 0.2327, 0.7673], [0.0000, 0.2327, 0.7673], [0.5000, 0.7673, 0.2327], [0.7500, 0.9679, 0.9679], [0.2500, 0.0321, 0.0321], [0.7500, 0.8431, 0.5767], [0.2500, 0.1569, 0.4233], [0.7500, 0.5767, 0.8431], [0.2500, 0.4233, 0.1569]], "density_g_cm3": 8.1, "crystal_system": "orthorhombic", "e_tot_ev_per_cell": -35.64, "delta_e_f_ev_per_atom": -0.098}